(1)
KCaSiHO4: relaxed, PBE-GGA.

Output
volume	13.12	A^3/atom
raw total energy	-102.0	eV per cell

abc: 5.625 7.529 5.657
angles: 90.00 118.76 90.00
Space group P2_1 (No. 4)
One atom of each set of equivalent atoms:
K 0.144 0.000 0.282
Ca 0.495 0.248 0.007
Si 0.184 0.489 0.374
H 0.463 0.732 0.465
O 0.148 0.996 0.787
O 0.311 0.323 0.282
O 0.312 0.671 0.292
O 0.314 0.494 0.704



(2)
K2CaHPd: relaxed, PBE-GGA.

Output
volume	42.31	A^3/atom
raw total energy	-11.5	eV per cell

abc: 6.189 6.189 5.523
angles: 90.00 90.00 90.00
Space group P4/mmm (No. 123)
One atom of each set of equivalent atoms:
K 0.000 0.500 0.000
Ca 0.000 0.000 0.500
H 0.500 0.500 0.500
Pd 0.000 0.000 0.000



(3)
K2CaH6Rh: relaxed, PBE-GGA.

Output
volume	17.47	A^3/atom
raw total energy	-35.1	eV per cell

abc: 5.8772 5.8772 5.8394
angles: 90.00 90.00 120.00
Space group P-3m1 (No. 164)
One atom of each set of equivalent atoms:
K 0.3333 0.6667 0.3650
Ca 0.0000 0.0000 0.0000
H 0.1343 0.2686 0.6714
Rh 0.0000 0.0000 0.5000



(4)
K2CaSbH: relaxed, PBE-GGA.

Output
volume	27.66	A^3/atom
raw total energy	-13.9	eV per cell

abc: 5.000 5.000 5.531
angles: 90.00 90.00 90.00
Space group P4/mmm (No. 123)
One atom of each set of equivalent atoms:
K 0.000 0.500 0.000
Ca 0.000 0.000 0.500
Sb 0.500 0.500 0.500
H 0.000 0.000 0.000



(5)
KSr2CaH: relaxed, PBE-GGA.

Output
volume	39.19	A^3/atom
raw total energy	-9.7	eV per cell
energy relative to the lowest polymorph listed for this composition	0.14	eV per formula unit

abc: 5.968 5.968 5.502
angles: 90.00 90.00 90.00
Space group P4/mmm (No. 123)
One atom of each set of equivalent atoms:
K 0.000 0.000 0.000
Sr 0.000 0.500 0.500
Ca 0.500 0.500 0.000
H 0.500 0.500 0.500



(6)
KSr2CaH: relaxed, PBE-GGA.

Output
volume	39.22	A^3/atom
raw total energy	-9.9	eV per cell
energy relative to the lowest polymorph listed for this composition	0.00	eV per formula unit

abc: 5.675 5.675 6.090
angles: 90.00 90.00 90.00
Space group P4/mmm (No. 123)
One atom of each set of equivalent atoms:
K 0.000 0.000 0.000
Sr 0.000 0.500 0.500
Ca 0.500 0.500 0.000
H 0.000 0.000 0.500



(7)
KCa2TlH: relaxed, PBE-GGA.

Output
volume	30.02	A^3/atom
raw total energy	-10.7	eV per cell
energy relative to the lowest polymorph listed for this composition	0.97	eV per formula unit

abc: 5.217 5.217 5.515
angles: 90.00 90.00 90.00
Space group P4/mmm (No. 123)
One atom of each set of equivalent atoms:
K 0.000 0.000 0.000
Ca 0.000 0.500 0.500
Tl 0.500 0.500 0.000
H 0.500 0.500 0.500



(8)
KCa2TlH: relaxed, PBE-GGA.

Output
volume	27.50	A^3/atom
raw total energy	-11.7	eV per cell
energy relative to the lowest polymorph listed for this composition	0.00	eV per formula unit

abc: 5.192 5.192 5.101
angles: 90.00 90.00 90.00
Space group P4/mmm (No. 123)
One atom of each set of equivalent atoms:
K 0.000 0.000 0.000
Ca 0.000 0.500 0.500
Tl 0.500 0.500 0.000
H 0.000 0.000 0.500



(9)
K2CaTlH: relaxed, PBE-GGA.

Output
volume	30.81	A^3/atom
raw total energy	-10.3	eV per cell

abc: 5.497 5.497 5.097
angles: 90.00 90.00 90.00
Space group P4/mmm (No. 123)
One atom of each set of equivalent atoms:
K 0.000 0.500 0.000
Ca 0.000 0.000 0.500
Tl 0.500 0.500 0.500
H 0.000 0.000 0.000



(10)
KCaV2H: relaxed, PBE-GGA.

Output
volume	18.29	A^3/atom
raw total energy	-19.8	eV per cell

abc: 4.068 4.068 5.527
angles: 90.00 90.00 90.00
Space group P4/mmm (No. 123)
One atom of each set of equivalent atoms:
K 0.000 0.000 0.000
Ca 0.500 0.500 0.000
V 0.000 0.500 0.500
H 0.500 0.500 0.500



(11)
KCaY2H: relaxed, PBE-GGA.

Output
volume	36.63	A^3/atom
raw total energy	-15.5	eV per cell

abc: 6.872 6.872 3.878
angles: 90.00 90.00 90.00
Space group P4/mmm (No. 123)
One atom of each set of equivalent atoms:
K 0.000 0.000 0.000
Ca 0.500 0.500 0.500
Y 0.000 0.500 0.500
H 0.500 0.500 0.000



(12)
KCaZnH2: relaxed, PBE-GGA.

Output
volume	26.10	A^3/atom
raw total energy	-7.7	eV per cell

abc: 4.935 4.935 5.358
angles: 90.00 90.00 90.00
Space group P4/mmm (No. 123)
One atom of each set of equivalent atoms:
K 0.000 0.000 0.000
Ca 0.500 0.500 0.000
Zn 0.500 0.500 0.500
H 0.000 0.500 0.500



(13)
Ca5La3H12: relaxed, PBE-GGA.

Output
volume	15.99	A^3/atom
raw total energy	-590.0	eV per cell

abc: 13.678 13.678 13.678
angles: 90.00 90.00 90.00
Space group Ia-3d (No. 230)
One atom of each set of equivalent atoms:
Ca 0.000 0.000 0.000
Ca 0.000 0.250 0.375
La 0.000 0.250 0.125
H 0.011 0.069 0.654



(14)
CaLa2H2: relaxed, PBE-GGA.

Output
volume	24.08	A^3/atom
raw total energy	-37.4	eV per cell

abc: 6.977 6.977 4.946
angles: 90.00 90.00 90.00
Space group P4/mbm (No. 127)
One atom of each set of equivalent atoms:
Ca 0.000 0.000 0.000
La 0.170 0.330 0.500
H 0.194 0.306 0.000



(15)
Ca3La2H8: relaxed, PBE-GGA.

Output
volume	14.47	A^3/atom
raw total energy	-96.5	eV per cell

abc: 8.232 11.594 3.942
angles: 90.00 90.00 90.00
Space group Cmmm (No. 65)
One atom of each set of equivalent atoms:
Ca 0.000 0.000 0.000
Ca 0.201 0.500 0.500
La 0.000 0.268 0.000
H 0.000 0.112 0.500
H 0.000 0.373 0.500
H 0.229 0.119 0.000



(16)
Ca2LaH4: relaxed, PBE-GGA.

Output
volume	18.41	A^3/atom
raw total energy	-48.1	eV per cell

abc: 4.493 4.493 12.769
angles: 90.00 90.00 90.00
Space group I4/mmm (No. 139)
One atom of each set of equivalent atoms:
Ca 0.000 0.000 0.145
La 0.000 0.000 0.500
H 0.000 0.000 0.316
H 0.000 0.500 0.000



(17)
Ca2LaH2: relaxed, PBE-GGA.

Output
volume	24.72	A^3/atom
raw total energy	-32.1	eV per cell
energy relative to the lowest polymorph listed for this composition	0.89	eV per formula unit

abc: 7.337 7.337 4.592
angles: 90.00 90.00 90.00
Space group P4/mbm (No. 127)
One atom of each set of equivalent atoms:
Ca 0.169 0.331 0.000
La 0.000 0.000 0.500
H 0.221 0.279 0.500



(18)
CaLa2H8: relaxed, PBE-GGA.

Output
volume	11.41	A^3/atom
raw total energy	-90.6	eV per cell

abc: 3.991 5.304 11.860
angles: 90.00 90.00 90.00
Space group Immm (No. 71)
One atom of each set of equivalent atoms:
Ca 0.000 0.000 0.000
La 0.000 0.000 0.324
H 0.000 0.234 0.500
H 0.000 0.264 0.150
H 0.000 0.500 0.311



(19)
Ca2LaH2: relaxed, PBE-GGA.

Output
volume	24.25	A^3/atom
raw total energy	-33.8	eV per cell
energy relative to the lowest polymorph listed for this composition	0.00	eV per formula unit

abc: 3.709 3.709 17.627
angles: 90.00 90.00 90.00
Space group I4/mmm (No. 139)
One atom of each set of equivalent atoms:
Ca 0.000 0.000 0.176
La 0.000 0.000 0.500
H 0.000 0.500 0.250



(20)
Ca3LaH: relaxed, PBE-GGA.

Output
volume	30.97	A^3/atom
raw total energy	-14.3	eV per cell

abc: 5.370 5.370 5.370
angles: 90.00 90.00 90.00
Space group Pm-3m (No. 221)
One atom of each set of equivalent atoms:
Ca 0.000 0.000 0.500
La 0.500 0.500 0.500
H 0.000 0.000 0.000